A geometry-optimized TaCdHg2 structure, computed with PBE.

Summary:
M_tot   0.0 μB/cell
E_form   0.4165 eV/atom

abc: 2.9742 5.1942 11.2506
angles: 90.00 90.00 90.00
With the nearest neighbours (Å) after each atom.
Space group Imm2 (No. 44)
Unique sites:
Ta 0.0000 0.0000 0.0000  6 Hg 2.93-2.99, 2 Cd 2.96, 2 Ta 2.97
Cd 0.0000 0.5000 0.7275  2 Ta 2.96, 2 Cd 2.97, 4 Hg 3.04
Hg 0.0000 0.0000 0.5030  2 Hg 2.97, 4 Ta 2.99
Hg 0.0000 0.5000 0.2757  2 Ta 2.93, 2 Hg 2.97, 4 Cd 3.04

***

A geometry-optimized Ca2TaRe structure, computed with PBE.

Summary:
M_tot   0.0 μB/cell
E_form   0.7575 eV/atom

abc: 2.8468 5.2176 5.6917
angles: 90.00 97.56 90.00
With the nearest neighbours (Å) after each atom.
Space group P2/m (No. 10)
Unique sites:
Ca 0.0198 0.0000 0.2559  4 Ca 2.80-2.90
Ta 0.5000 0.5000 0.0000  2 Re 2.85, 2 Ta 2.85
Re 0.5000 0.5000 0.5000  2 Ta 2.85, 2 Re 2.85, 4 Ca 3.18

***

A geometry-optimized PrThCo structure, computed with PBE.

Summary:
M_tot   0.0 μB/cell
E_form   -0.0774 eV/atom

abc: 3.9007 3.9007 6.3987
angles: 90.00 90.00 120.00
With the nearest neighbours (Å) after each atom.
Space group P3m1 (No. 156)
Unique sites:
Pr 0.0000 0.0000 0.0000  3 Co 2.85
Th 0.3333 0.6667 0.4915  3 Co 2.65
Co 0.6667 0.3333 0.2729  3 Th 2.65, 3 Pr 2.85

***

A geometry-optimized Al6FeCu structure, computed with PBE.

Summary:
M_tot   0.7 μB/cell
E_form   -0.0504 eV/atom

abc: 4.1063 11.9423 5.4706
angles: 90.00 90.28 90.00
With the nearest neighbours (Å) after each atom.
Space group C2/m (No. 12)
Unique sites:
Al 0.0006 0.0000 0.2375  2 Fe 2.43, 2 Cu 2.50-2.51, 1 Al 2.60
Al 0.0038 0.3248 0.2441  1 Fe 2.48, 1 Cu 2.52, 3 Al 2.67-2.72
Fe 0.0000 0.5000 0.0000  8 Al 2.43-2.48
Cu 0.0000 0.5000 0.5000  8 Al 2.50-2.52, 2 Fe 2.74

***

A geometry-optimized PrDy7Cd2 structure, computed with PBE.

Summary:
M_tot   5.1 μB/cell
E_form   0.4116 eV/atom

abc: 9.0437 15.3155 5.4118
angles: 90.00 90.00 90.00
With the nearest neighbours (Å) after each atom.
Space group Cmmm (No. 65)
Unique sites:
Pr 0.0000 0.0000 0.0000  10 Dy 3.60-3.66
Dy 0.0000 0.2351 0.0000  2 Cd 2.90
Dy 0.0000 0.5000 0.5000  2 Cd 3.01
Dy 0.1815 0.1205 0.5000  2 Cd 3.11-3.25, 2 Dy 3.28-3.42
Cd 0.0000 0.3034 0.5000  7 Dy 2.90-3.25

***

E_form of number 3 (PrThCo)? -0.0774 eV/atom

***

The highest M_tot belongs to which entry? PrDy7Cd2